i | A relaxed CdSbPI2 crystal, computed with PBE.

Output
For the magnetization, the calculation gives 1.35 μB/cell.

Geometry as POSCAR:
```
CdSbPI2
1.0
5.788 0.000 0.000
0.000 5.788 0.000
0.000 0.000 5.826
Cd Sb P I
1 1 1 2
direct
0.000 0.000 0.000
0.000 0.000 0.500
0.500 0.500 0.500
0.000 0.500 0.000
0.500 0.000 0.000
```


ii | A relaxed CdSbPI2 crystal, computed with PBE.

Output
For the magnetization, the calculation gives 0.00 μB/cell.

Geometry as POSCAR:
```
CdSbPI2
1.0
5.449 0.000 0.000
0.000 5.449 0.000
0.000 0.000 5.489
Cd Sb P I
1 1 1 2
direct
0.000 0.000 0.000
0.500 0.500 0.000
0.500 0.500 0.500
0.000 0.500 0.500
0.500 0.000 0.500
```


The structure with the most favorable energy is ii; the runner-up is 42.2 kJ/mol of atoms above it.


i | A relaxed CdTePI2 crystal, computed with PBE.

Output
For the magnetization, the calculation gives 1.03 μB/cell.

Geometry as POSCAR:
```
CdTePI2
1.0
5.803 0.000 0.000
0.000 5.803 0.000
0.000 0.000 5.937
Cd Te P I
1 1 1 2
direct
0.000 0.000 0.000
0.000 0.000 0.500
0.500 0.500 0.500
0.000 0.500 0.000
0.500 0.000 0.000
```


ii | A relaxed CdTePI2 crystal, computed with PBE.

Output
For the magnetization, the calculation gives 0.00 μB/cell.

Geometry as POSCAR:
```
CdTePI2
1.0
5.427 0.000 0.000
0.000 5.427 0.000
0.000 0.000 5.540
Cd Te P I
1 1 1 2
direct
0.000 0.000 0.000
0.500 0.500 0.000
0.500 0.500 0.500
0.000 0.500 0.500
0.500 0.000 0.500
```


The structure with the most favorable energy is ii; the runner-up is 42.5 kJ/mol of atoms above it.


i | A relaxed CdTe2PI crystal, computed with PBE.

Output
For the magnetization, the calculation gives 0.00 μB/cell.

Geometry as POSCAR:
```
CdTe2PI
1.0
5.387 0.000 0.000
0.000 5.387 0.000
0.000 0.000 5.332
Cd Te P I
1 2 1 1
direct
0.000 0.000 0.000
0.000 0.500 0.500
0.500 0.000 0.500
0.500 0.500 0.500
0.500 0.500 0.000
```


ii | A relaxed CdTe2PI crystal, computed with PBE.

Output
For the magnetization, the calculation gives 0.85 μB/cell.

Geometry as POSCAR:
```
CdTe2PI
1.0
5.695 0.000 0.000
0.000 5.695 0.000
0.000 0.000 5.757
Cd Te P I
1 2 1 1
direct
0.000 0.000 0.000
0.000 0.500 0.000
0.500 0.000 0.000
0.500 0.500 0.500
0.000 0.000 0.500
```


The structure with the most favorable energy is i; the runner-up is 51.9 kJ/mol of atoms above it.


i | A relaxed Pa2CdI8 crystal, computed with PBE.

Output
For the magnetization, the calculation gives 2.00 μB/cell.

Geometry as POSCAR:
```
Pa2CdI8
1.0
8.364 -4.410 0.000
8.364 4.410 0.000
-3.132 0.000 10.133
Pa Cd I
2 1 8
direct
0.217 0.217 0.191
0.783 0.783 0.809
0.000 0.000 0.500
0.113 0.604 0.717
0.172 0.172 0.904
0.396 0.887 0.283
0.397 0.397 0.309
0.603 0.603 0.691
0.604 0.113 0.717
0.828 0.828 0.096
0.887 0.396 0.283
```


ii | A relaxed Pa2CdI8 crystal, computed with PBE.

Output
For the magnetization, the calculation gives 2.00 μB/cell.

Geometry as POSCAR:
```
Pa2CdI8
1.0
11.611 0.000 0.000
-5.805 10.055 0.000
0.000 0.000 6.148
Pa Cd I
2 1 8
direct
0.333 0.667 0.261
0.667 0.333 0.739
0.000 0.000 0.000
0.188 0.377 0.264
0.190 0.812 0.264
0.333 0.667 0.761
0.377 0.190 0.736
0.623 0.810 0.264
0.667 0.333 0.239
0.810 0.188 0.736
0.812 0.623 0.736
```


The structure with the most favorable energy is ii; the runner-up is 2.9 kJ/mol of atoms above it.


i | A relaxed CdPb2I crystal, computed with PBE.

Output
For the magnetization, the calculation gives 0.00 μB/cell.

Geometry as POSCAR:
```
CdPb2I
1.0
7.967 0.000 0.000
0.000 7.967 0.000
0.000 0.000 7.967
Cd Pb I
4 8 4
direct
0.000 0.000 0.000
0.000 0.500 0.500
0.500 0.000 0.500
0.500 0.500 0.000
0.250 0.250 0.250
0.250 0.250 0.750
0.250 0.750 0.250
0.250 0.750 0.750
0.750 0.250 0.250
0.750 0.250 0.750
0.750 0.750 0.250
0.750 0.750 0.750
0.000 0.000 0.500
0.000 0.500 0.000
0.500 0.000 0.000
0.500 0.500 0.500
```


ii | A relaxed CdPb2I crystal, computed with PBE.

Output
For the magnetization, the calculation gives 0.00 μB/cell.

Geometry as POSCAR:
```
CdPb2I
1.0
6.611 0.000 0.000
0.000 6.611 0.000
0.000 0.000 16.268
Cd Pb I
4 8 4
direct
0.000 0.000 0.000
0.000 0.500 0.250
0.500 0.000 0.750
0.500 0.500 0.500
0.204 0.250 0.125
0.250 0.704 0.375
0.250 0.796 0.875
0.296 0.250 0.625
0.704 0.750 0.625
0.750 0.204 0.875
0.750 0.296 0.375
0.796 0.750 0.125
0.000 0.000 0.500
0.000 0.500 0.750
0.500 0.000 0.250
0.500 0.500 0.000
```


The structure with the most favorable energy is i; the runner-up is 10.7 kJ/mol of atoms above it.


i | A relaxed CdPb2I crystal, computed with PBE.

Output
For the magnetization, the calculation gives 0.00 μB/cell.

Geometry as POSCAR:
```
CdPb2I
1.0
3.739 0.000 0.000
0.000 3.739 0.000
0.000 0.000 8.900
Cd Pb I
1 2 1
direct
0.000 0.000 0.000
0.500 0.500 0.227
0.500 0.500 0.773
0.000 0.000 0.500
```


ii | A relaxed CdPb2I crystal, computed with PBE.

Output
For the magnetization, the calculation gives 0.00 μB/cell.

Geometry as POSCAR:
```
CdPb2I
1.0
3.584 0.000 0.000
-1.792 3.103 0.000
0.000 0.000 35.033
Cd Pb I
3 6 3
direct
0.000 0.000 0.000
0.333 0.667 0.667
0.667 0.333 0.333
0.000 0.000 0.409
0.000 0.000 0.591
0.333 0.667 0.076
0.333 0.667 0.257
0.667 0.333 0.743
0.667 0.333 0.924
0.000 0.000 0.500
0.333 0.667 0.167
0.667 0.333 0.833
```


The structure with the most favorable energy is i; the runner-up is 7.1 kJ/mol of atoms above it.


i | A relaxed CdPbI3 crystal, computed with PBE.

Output
For the magnetization, the calculation gives 0.84 μB/cell.

Geometry as POSCAR:
```
CdPbI3
1.0
6.245 0.000 0.000
0.000 6.245 0.000
0.000 0.000 6.245
Cd Pb I
1 1 3
direct
0.000 0.000 0.000
0.500 0.500 0.500
0.000 0.500 0.500
0.500 0.000 0.500
0.500 0.500 0.000
```


ii | A relaxed CdPbI3 crystal, computed with PBE.

Output
For the magnetization, the calculation gives 0.71 μB/cell.

Geometry as POSCAR:
```
CdPbI3
1.0
5.871 0.000 0.000
0.000 5.871 0.000
0.000 0.000 5.871
Cd Pb I
1 1 3
direct
0.000 0.000 0.000
0.500 0.500 0.500
0.000 0.000 0.500
0.000 0.500 0.000
0.500 0.000 0.000
```


The structure with the most favorable energy is i; the runner-up is 0.7 kJ/mol of atoms above it.


i | A relaxed CdSb2PbI crystal, computed with PBE.

Output
For the magnetization, the calculation gives 1.84 μB/cell.

Geometry as POSCAR:
```
CdSb2PbI
1.0
5.956 0.000 0.000
0.000 5.956 0.000
0.000 0.000 6.199
Cd Sb Pb I
1 2 1 1
direct
0.000 0.000 0.000
0.000 0.500 0.500
0.500 0.000 0.500
0.500 0.500 0.500
0.500 0.500 0.000
```


ii | A relaxed CdSb2PbI crystal, computed with PBE.

Output
For the magnetization, the calculation gives 0.46 μB/cell.

Geometry as POSCAR:
```
CdSb2PbI
1.0
5.507 0.000 0.000
0.000 5.507 0.000
0.000 0.000 6.010
Cd Sb Pb I
1 2 1 1
direct
0.000 0.000 0.000
0.000 0.500 0.000
0.500 0.000 0.000
0.500 0.500 0.500
0.000 0.000 0.500
```


The structure with the most favorable energy is ii; the runner-up is 17.1 kJ/mol of atoms above it.


i | A relaxed CdSbPbI2 crystal, computed with PBE.

Output
For the magnetization, the calculation gives 1.86 μB/cell.

Geometry as POSCAR:
```
CdSbPbI2
1.0
6.246 0.000 0.000
0.000 6.246 0.000
0.000 0.000 6.170
Cd Sb Pb I
1 1 1 2
direct
0.000 0.000 0.000
0.500 0.500 0.000
0.500 0.500 0.500
0.000 0.500 0.500
0.500 0.000 0.500
```


ii | A relaxed CdSbPbI2 crystal, computed with PBE.

Output
For the magnetization, the calculation gives 0.00 μB/cell.

Geometry as POSCAR:
```
CdSbPbI2
1.0
5.756 0.000 0.000
0.000 5.756 0.000
0.000 0.000 5.755
Cd Sb Pb I
1 1 1 2
direct
0.000 0.000 0.000
0.000 0.000 0.500
0.500 0.500 0.500
0.000 0.500 0.000
0.500 0.000 0.000
```


The structure with the most favorable energy is ii; the runner-up is 3.4 kJ/mol of atoms above it.


i | A relaxed Pm2CdI crystal, computed with PBE.

Output
For the magnetization, the calculation gives 0.29 μB/cell.

Geometry as POSCAR:
```
Pm2CdI
1.0
3.729 0.000 0.000
0.000 3.729 0.000
0.000 0.000 8.477
Pm Cd I
2 1 1
direct
0.000 0.000 0.235
0.000 0.000 0.765
0.500 0.500 0.000
0.500 0.500 0.500
```


ii | A relaxed Pm2CdI crystal, computed with PBE.

Output
For the magnetization, the calculation gives 0.00 μB/cell.

Geometry as POSCAR:
```
Pm2CdI
1.0
3.896 0.000 0.000
-1.948 3.374 0.000
0.000 0.000 28.370
Pm Cd I
6 3 3
direct
0.000 0.000 0.000
0.000 0.000 0.169
0.333 0.667 0.667
0.333 0.667 0.836
0.667 0.333 0.333
0.667 0.333 0.502
0.000 0.000 0.585
0.333 0.667 0.251
0.667 0.333 0.918
0.000 0.000 0.418
0.333 0.667 0.084
0.667 0.333 0.751
```


The structure with the most favorable energy is ii; the runner-up is 3.5 kJ/mol of atoms above it.


i | A relaxed CdPt3I crystal, computed with PBE.

Output
For the magnetization, the calculation gives 0.00 μB/cell.

Geometry as POSCAR:
```
CdPt3I
1.0
4.995 0.000 0.000
0.000 4.995 0.000
0.000 0.000 4.995
Cd Pt I
1 3 1
direct
0.000 0.000 0.000
0.000 0.500 0.500
0.500 0.000 0.500
0.500 0.500 0.000
0.500 0.500 0.500
```


ii | A relaxed CdPt3I crystal, computed with PBE.

Output
For the magnetization, the calculation gives 0.00 μB/cell.

Geometry as POSCAR:
```
CdPt3I
1.0
5.011 0.000 0.000
0.000 5.011 0.000
0.000 0.000 5.011
Cd Pt I
1 3 1
direct
0.000 0.000 0.000
0.000 0.000 0.500
0.000 0.500 0.000
0.500 0.000 0.000
0.500 0.500 0.500
```


The structure with the most favorable energy is i; the runner-up is 26.7 kJ/mol of atoms above it.


i | A relaxed Cd2PtI crystal, computed with PBE.

Output
For the magnetization, the calculation gives 0.00 μB/cell.

Geometry as POSCAR:
```
Cd2PtI
1.0
5.737 0.000 0.000
0.000 5.737 0.000
0.000 0.000 16.047
Cd Pt I
8 4 4
direct
0.164 0.250 0.125
0.250 0.664 0.375
0.250 0.836 0.875
0.336 0.250 0.625
0.664 0.750 0.625
0.750 0.164 0.875
0.750 0.336 0.375
0.836 0.750 0.125
0.000 0.000 0.000
0.000 0.500 0.250
0.500 0.000 0.750
0.500 0.500 0.500
0.000 0.000 0.500
0.000 0.500 0.750
0.500 0.000 0.250
0.500 0.500 0.000
```


ii | A relaxed Cd2PtI crystal, computed with PBE.

Output
For the magnetization, the calculation gives 0.00 μB/cell.

Geometry as POSCAR:
```
Cd2PtI
1.0
7.197 0.000 0.000
0.000 7.197 0.000
0.000 0.000 7.197
Cd Pt I
8 4 4
direct
0.250 0.250 0.250
0.250 0.250 0.750
0.250 0.750 0.250
0.250 0.750 0.750
0.750 0.250 0.250
0.750 0.250 0.750
0.750 0.750 0.250
0.750 0.750 0.750
0.000 0.000 0.000
0.000 0.500 0.500
0.500 0.000 0.500
0.500 0.500 0.000
0.000 0.000 0.500
0.000 0.500 0.000
0.500 0.000 0.000
0.500 0.500 0.500
```


The structure with the most favorable energy is i; the runner-up is 24.5 kJ/mol of atoms above it.